# 1
An optimized crystal structure of Mg2In5Hg12. Source: Alexandria via LeMat-Bulk, functional PBE.

a b c (Å): 6.5762 11.5619 11.5619
angles (deg): 35.32 102.11 102.11
Positions (direct):
Hg: 0.7794 0.9736 0.4296
Hg: 0.0630 0.8980 0.8980
Hg: 0.6108 0.1717 0.6354
Hg: 0.3892 0.8283 0.3646
Hg: 0.7794 0.4296 0.9736
Hg: 0.6108 0.6354 0.1717
Hg: 0.3892 0.3646 0.8283
Hg: 0.2206 0.0264 0.5704
Hg: 0.2206 0.5704 0.0264
Hg: 0.9370 0.1020 0.1020
Hg: 0.7290 0.5495 0.5495
Hg: 0.2710 0.4505 0.4505
In: 0.8947 0.3372 0.3372
In: 0.5000 0.0000 0.0000
In: 0.6433 0.7903 0.7903
In: 0.1053 0.6628 0.6628
In: 0.3567 0.2097 0.2097
Mg: 0.0000 0.7565 0.2435
Mg: 0.0000 0.2435 0.7565

Computed properties:
Crystal system: monoclinic
Calculated total energy (eV per cell): -20.8



# 2
An optimized crystal structure of MgIn4Hg3. Source: Alexandria via LeMat-Bulk, functional PBE.

a b c (Å): 3.3816 4.8036 13.5183
angles (deg): 99.79 97.19 90.00
Positions (direct):
In: 0.2849 0.7891 0.5697
In: 0.0964 0.0936 0.1928
In: 0.9036 0.9064 0.8072
In: 0.7151 0.2109 0.4303
Mg: 0.5000 0.0000 0.0000
Hg: 0.0000 0.5000 0.0000
Hg: 0.1610 0.6559 0.3220
Hg: 0.8390 0.3441 0.6780

Computed properties:
Crystal system: monoclinic
Calculated total energy (eV per cell): -13.5



# 3
An optimized crystal structure of Mg4InHg. Source: Alexandria via LeMat-Bulk, functional PBE.

a b c (Å): 3.4620 7.9974 5.0762
angles (deg): 90.00 90.00 90.00
Positions (direct):
Mg: 0.5000 0.2979 0.0002
Mg: 0.0000 0.1872 0.5002
Mg: 0.5000 0.7021 0.9998
Mg: 0.0000 0.8128 0.4998
In: 0.5000 0.5000 0.5000
Hg: 0.0000 0.0000 0.0000

Computed properties:
Crystal system: orthorhombic
Calculated total energy (eV per cell): -10.0



# 4
An optimized crystal structure of Mg2In5Hg4. Source: Alexandria via LeMat-Bulk, functional PBE.

a b c (Å): 3.3329 8.4000 9.9952
angles (deg): 96.81 90.00 90.00
Positions (direct):
Mg: 0.0000 0.0908 0.6452
Mg: 0.0000 0.9092 0.3548
Hg: 0.5000 0.1834 0.8776
Hg: 0.5000 0.2211 0.4349
Hg: 0.5000 0.7789 0.5651
Hg: 0.5000 0.8166 0.1224
In: 0.0000 0.8279 0.8523
In: 0.0000 0.1721 0.1477
In: 0.0000 0.5241 0.3318
In: 0.0000 0.4759 0.6682
In: 0.0000 0.5000 0.0000

Computed properties:
Crystal system: monoclinic
Calculated total energy (eV per cell): -18.5



# 5
An optimized crystal structure of Mg6In12Hg. Source: Alexandria via LeMat-Bulk, functional PBE.

a b c (Å): 7.8504 7.8504 7.8504
angles (deg): 86.16 86.16 86.16
Positions (direct):
Mg: 0.1133 0.7303 0.2640
Mg: 0.7360 0.8867 0.2697
Mg: 0.2640 0.1133 0.7303
Mg: 0.8867 0.2697 0.7360
Mg: 0.7303 0.2640 0.1133
Mg: 0.2697 0.7360 0.8867
In: 0.9666 0.8419 0.6236
In: 0.7985 0.5290 0.4382
In: 0.3764 0.0334 0.1581
In: 0.5618 0.2015 0.4710
In: 0.4710 0.5618 0.2015
In: 0.4382 0.7985 0.5290
In: 0.2015 0.4710 0.5618
In: 0.8419 0.6236 0.9666
In: 0.1581 0.3764 0.0334
In: 0.0334 0.1581 0.3764
In: 0.5290 0.4382 0.7985
In: 0.6236 0.9666 0.8419
Hg: 0.0000 0.0000 0.0000

Computed properties:
Crystal system: trigonal
Calculated total energy (eV per cell): -43.2



# 6
An optimized crystal structure of Mg2InHg7. Source: Alexandria via LeMat-Bulk, functional PBE.

a b c (Å): 4.6331 8.7438 8.7439
angles (deg): 123.56 90.00 90.00
Positions (direct):
Hg: 0.0000 0.2099 0.7901
Hg: 0.0000 0.7901 0.2099
Hg: 0.5000 0.9217 0.6975
Hg: 0.5000 0.6975 0.9217
Hg: 0.5000 0.0783 0.3025
Hg: 0.5000 0.3025 0.0783
Hg: 0.5000 0.5000 0.5000
Mg: 0.5000 0.3099 0.6901
Mg: 0.5000 0.6901 0.3099
In: 0.0000 0.0000 0.0000

Computed properties:
Crystal system: orthorhombic
Calculated total energy (eV per cell): -7.7



# 7
An optimized crystal structure of MgIn7Hg4. Source: Alexandria via LeMat-Bulk, functional PBE.

a b c (Å): 3.4598 3.4598 30.0310
angles (deg): 90.00 90.00 120.00
Positions (direct):
In: 0.6667 0.3333 0.8323
In: 0.3333 0.6667 0.1677
In: 0.0000 0.0000 0.7445
In: 0.3333 0.6667 0.4194
In: 0.0000 0.0000 0.2555
In: 0.6667 0.3333 0.5806
In: 0.0000 0.0000 0.0000
Hg: 0.3333 0.6667 0.9155
Hg: 0.6667 0.3333 0.0845
Hg: 0.6667 0.3333 0.3373
Hg: 0.3333 0.6667 0.6627
Mg: 0.0000 0.0000 0.5000

Computed properties:
Crystal system: trigonal
Calculated total energy (eV per cell): -21.9



# 8
An optimized crystal structure of Mg5In3Hg3. Source: Alexandria via LeMat-Bulk, functional PBE.

a b c (Å): 3.2670 10.0076 10.0076
angles (deg): 120.00 90.00 90.00
Positions (direct):
Mg: 0.5000 0.1750 0.1750
Mg: 0.5000 0.0000 0.8250
Mg: 0.5000 0.3333 0.6667
Mg: 0.5000 0.6667 0.3333
Mg: 0.5000 0.8250 0.0000
Hg: 0.5000 0.0000 0.3247
Hg: 0.5000 0.6753 0.6753
Hg: 0.5000 0.3247 0.0000
In: 0.0000 0.4232 0.4232
In: 0.0000 0.0000 0.5768
In: 0.0000 0.5768 0.0000

Computed properties:
Crystal system: hexagonal
Calculated total energy (eV per cell): -16.8



| no. | total magnetization (μB/f.u.) |
| --- | --- |
| 1 | 0.0 |
| 2 | 0.0 |
| 3 | 0.0 |
| 4 | 0.0 |
| 5 | 0.0 |
| 6 | 0.0 |
| 7 | 0.0 |
| 8 | 0.0 |